[1]
# Be4RhCl

A relaxed Be4RhCl crystal (PBE, Alexandria).

Structure (CIF):
```
data_Be4RhCl
_cell_length_a 4.522
_cell_length_b 4.522
_cell_length_c 4.522
_cell_angle_alpha 60.00
_cell_angle_beta 60.00
_cell_angle_gamma 60.00
_symmetry_space_group_name_H-M 'P 1'
_symmetry_Int_Tables_number 1
loop_
_symmetry_equiv_pos_as_xyz
'x,y,z'
loop_
_atom_site_label
_atom_site_type_symbol
_atom_site_fract_x
_atom_site_fract_y
_atom_site_fract_z
Be1 Be 0.378 0.378 0.378
Be2 Be 0.378 0.378 0.867
Be3 Be 0.378 0.867 0.378
Be4 Be 0.867 0.378 0.378
Rh1 Rh 0.750 0.750 0.750
Cl1 Cl 0.000 0.000 0.000
```

Output
* E: -3.710 eV/atom
* space group: F-43m, No. 216

[2]
# La6Ge2BiSe3

A relaxed La6Ge2BiSe3 crystal (PBE, Alexandria).

Structure (CIF):
```
data_La6Ge2BiSe3
_cell_length_a 9.888
_cell_length_b 9.888
_cell_length_c 8.874
_cell_angle_alpha 102.15
_cell_angle_beta 102.15
_cell_angle_gamma 25.98
_symmetry_space_group_name_H-M 'P 1'
_symmetry_Int_Tables_number 1
loop_
_symmetry_equiv_pos_as_xyz
'x,y,z'
loop_
_atom_site_label
_atom_site_type_symbol
_atom_site_fract_x
_atom_site_fract_y
_atom_site_fract_z
La1 La 0.004 0.004 0.263
La2 La 0.329 0.329 0.904
La3 La 0.330 0.330 0.422
La4 La 0.670 0.670 0.578
La5 La 0.671 0.671 0.096
La6 La 0.996 0.996 0.737
Ge1 Ge 0.167 0.167 0.334
Ge2 Ge 0.833 0.833 0.666
Bi1 Bi 0.500 0.500 0.000
Se1 Se 0.165 0.165 0.833
Se2 Se 0.500 0.500 0.500
Se3 Se 0.835 0.835 0.167
```

Output
* E: -5.905 eV/atom
* space group: C2/m, No. 12

[3]
# SrAgAu10

A relaxed SrAgAu10 crystal (PBE, Alexandria).

Structure (CIF):
```
data_SrAgAu10
_cell_length_a 4.713
_cell_length_b 5.557
_cell_length_c 9.707
_cell_angle_alpha 90.00
_cell_angle_beta 90.00
_cell_angle_gamma 90.00
_symmetry_space_group_name_H-M 'P 1'
_symmetry_Int_Tables_number 1
loop_
_symmetry_equiv_pos_as_xyz
'x,y,z'
loop_
_atom_site_label
_atom_site_type_symbol
_atom_site_fract_x
_atom_site_fract_y
_atom_site_fract_z
Sr1 Sr 0.000 0.000 0.000
Ag1 Ag 0.000 0.500 0.500
Au1 Au 0.000 0.000 0.344
Au2 Au 0.000 0.000 0.656
Au3 Au 0.000 0.500 0.188
Au4 Au 0.000 0.500 0.812
Au5 Au 0.500 0.000 0.500
Au6 Au 0.500 0.247 0.249
Au7 Au 0.500 0.247 0.751
Au8 Au 0.500 0.500 0.000
Au9 Au 0.500 0.753 0.249
Au10 Au 0.500 0.753 0.751
```

Output
* E: -3.305 eV/atom
* space group: Pmmm, No. 47
* energy relative to the elements: -0.196 eV/atom

[4]
# SbTe2Br

A relaxed SbTe2Br crystal (PBE, Alexandria).

Structure (CIF):
```
data_SbTe2Br
_cell_length_a 9.558
_cell_length_b 9.558
_cell_length_c 9.558
_cell_angle_alpha 26.26
_cell_angle_beta 26.26
_cell_angle_gamma 26.26
_symmetry_space_group_name_H-M 'P 1'
_symmetry_Int_Tables_number 1
loop_
_symmetry_equiv_pos_as_xyz
'x,y,z'
loop_
_atom_site_label
_atom_site_type_symbol
_atom_site_fract_x
_atom_site_fract_y
_atom_site_fract_z
Sb1 Sb 0.000 0.000 0.000
Te1 Te 0.399 0.399 0.399
Te2 Te 0.601 0.601 0.601
Br1 Br 0.500 0.500 0.500
```

Output
* E: -3.076 eV/atom
* space group: R-3m, No. 166
* ΔE to the lowest computed polymorph: 0.1201 eV/atom

[5]
# Hg2Te2Cl

A relaxed Hg2Te2Cl crystal (PBE, Alexandria).

Structure (CIF):
```
data_Hg2Te2Cl
_cell_length_a 7.648
_cell_length_b 7.648
_cell_length_c 7.648
_cell_angle_alpha 144.60
_cell_angle_beta 144.60
_cell_angle_gamma 50.94
_symmetry_space_group_name_H-M 'P 1'
_symmetry_Int_Tables_number 1
loop_
_symmetry_equiv_pos_as_xyz
'x,y,z'
loop_
_atom_site_label
_atom_site_type_symbol
_atom_site_fract_x
_atom_site_fract_y
_atom_site_fract_z
Hg1 Hg 0.250 0.750 0.500
Hg2 Hg 0.750 0.250 0.500
Te1 Te 0.119 0.119 0.000
Te2 Te 0.881 0.881 0.000
Cl1 Cl 0.500 0.500 0.000
```

Output
* E: -1.748 eV/atom
* space group: I4/mmm, No. 139
* ΔE to the lowest computed polymorph: 0.2836 eV/atom

[6]
# CaTa4Tc

A relaxed CaTa4Tc crystal (PBE, Alexandria).

Structure (CIF):
```
data_CaTa4Tc
_cell_length_a 5.522
_cell_length_b 5.522
_cell_length_c 5.522
_cell_angle_alpha 60.00
_cell_angle_beta 60.00
_cell_angle_gamma 60.00
_symmetry_space_group_name_H-M 'P 1'
_symmetry_Int_Tables_number 1
loop_
_symmetry_equiv_pos_as_xyz
'x,y,z'
loop_
_atom_site_label
_atom_site_type_symbol
_atom_site_fract_x
_atom_site_fract_y
_atom_site_fract_z
Ca1 Ca 0.000 0.000 0.000
Ta1 Ta 0.125 0.625 0.625
Ta2 Ta 0.625 0.125 0.625
Ta3 Ta 0.625 0.625 0.125
Ta4 Ta 0.625 0.625 0.625
Tc1 Tc 0.250 0.250 0.250
```

Output
* E: -9.412 eV/atom
* space group: F-43m, No. 216
* energy relative to the elements: 0.551 eV/atom

[7]
# CaZnCuC2

A relaxed CaZnCuC2 crystal (PBE, Alexandria).

Structure (CIF):
```
data_CaZnCuC2
_cell_length_a 4.051
_cell_length_b 4.051
_cell_length_c 4.413
_cell_angle_alpha 90.00
_cell_angle_beta 90.00
_cell_angle_gamma 90.00
_symmetry_space_group_name_H-M 'P 1'
_symmetry_Int_Tables_number 1
loop_
_symmetry_equiv_pos_as_xyz
'x,y,z'
loop_
_atom_site_label
_atom_site_type_symbol
_atom_site_fract_x
_atom_site_fract_y
_atom_site_fract_z
Ca1 Ca 0.000 0.000 0.000
Zn1 Zn 0.500 0.500 0.000
Cu1 Cu 0.500 0.500 0.500
C1 C 0.000 0.500 0.500
C2 C 0.500 0.000 0.500
```

Output
* E: -3.771 eV/atom
* space group: P4/mmm, No. 123
* energy relative to the elements: 1.393 eV/atom

[8]
# NaHfTaCr2

A relaxed NaHfTaCr2 crystal (PBE, Alexandria).

Structure (CIF):
```
data_NaHfTaCr2
_cell_length_a 4.319
_cell_length_b 4.319
_cell_length_c 4.692
_cell_angle_alpha 90.00
_cell_angle_beta 90.00
_cell_angle_gamma 90.00
_symmetry_space_group_name_H-M 'P 1'
_symmetry_Int_Tables_number 1
loop_
_symmetry_equiv_pos_as_xyz
'x,y,z'
loop_
_atom_site_label
_atom_site_type_symbol
_atom_site_fract_x
_atom_site_fract_y
_atom_site_fract_z
Na1 Na 0.000 0.000 0.000
Hf1 Hf 0.500 0.500 0.500
Ta1 Ta 0.000 0.000 0.500
Cr1 Cr 0.000 0.500 0.000
Cr2 Cr 0.500 0.000 0.000
```

Output
* E: -6.261 eV/atom
* space group: P4/mmm, No. 123
* energy relative to the elements: 2.213 eV/atom